(1)
Zr4Pd2O | meta-GGA SCAN | single point on PBEsol structure Values from VASP.

Results
- Energy relative to the elements, uncorrected: -1331 meV/atom

Cell and atoms, written as Quantum ESPRESSO input:
```
&SYSTEM
  ibrav = 0, nat = 28, ntyp = 3
/
ATOMIC_SPECIES
Zr 91.22 Zr.upf
Pd 106.42 Pd.upf
O 16.00 O.upf
ATOMIC_POSITIONS crystal
Zr 0.000 0.000 0.000
Zr 0.000 0.000 0.500
Zr 0.000 0.500 0.000
Zr 0.194 0.194 0.556
Zr 0.194 0.556 0.194
Zr 0.194 0.556 0.556
Zr 0.444 0.444 0.806
Zr 0.444 0.806 0.444
Zr 0.444 0.806 0.806
Zr 0.500 0.000 0.000
Zr 0.556 0.194 0.194
Zr 0.556 0.194 0.556
Zr 0.556 0.556 0.194
Zr 0.806 0.444 0.444
Zr 0.806 0.444 0.806
Zr 0.806 0.806 0.444
Pd 0.143 0.786 0.786
Pd 0.214 0.214 0.214
Pd 0.214 0.214 0.857
Pd 0.214 0.857 0.214
Pd 0.786 0.143 0.786
Pd 0.786 0.786 0.143
Pd 0.786 0.786 0.786
Pd 0.857 0.214 0.214
O 0.000 0.500 0.500
O 0.500 0.000 0.500
O 0.500 0.500 0.000
O 0.500 0.500 0.500
CELL_PARAMETERS angstrom
0.000 6.192 6.192
6.192 0.000 6.192
6.192 6.192 0.000
```

=====

(2)
Y4P | meta-GGA SCAN | single point on PBEsol structure Values from VASP.

Cell and atoms, written as Quantum ESPRESSO input:
```
&SYSTEM
  ibrav = 0, nat = 5, ntyp = 2
/
ATOMIC_SPECIES
Y 88.91 Y.upf
P 30.97 P.upf
ATOMIC_POSITIONS crystal
Y 0.000 0.000 0.500
Y 0.000 0.500 0.000
Y 0.500 0.000 0.000
Y 0.500 0.500 0.500
P 0.000 0.000 0.000
CELL_PARAMETERS angstrom
-3.280 3.280 3.280
3.280 -3.280 3.280
3.280 3.280 -3.280
```

=====

| no. | final energy (eV per atom) | mass density (g/cm³) |
| --- | --- | --- |
| 1 | -29.1270 | 8.31 |
| 2 | -24.6464 | 4.55 |